No. 1
Zr2PRu after structural relaxation. Source: Alexandria via LeMat-Bulk, functional PBE.

Cell and atoms, written as POSCAR:
```
Zr2PRu
1.0
-3.562 3.562 2.955
3.562 -3.562 2.955
3.562 3.562 -2.955
Zr P Ru
4 2 2
Cartesian
5.343 1.751 -0.739
1.751 1.781 0.739
-1.781 1.811 2.216
1.811 1.781 3.693
0.000 0.000 0.000
0.000 3.562 1.477
3.562 0.000 1.477
0.000 0.000 2.955
```

- Calculated formation energy: -0.311 eV/atom

---

No. 2
SrYPb after structural relaxation. Source: Alexandria via LeMat-Bulk, functional PBE.

Cell and atoms, written as POSCAR:
```
SrYPb
1.0
-1.866 2.241 6.327
1.866 -2.241 6.327
1.866 2.241 -6.327
Sr Y Pb
1 1 1
Cartesian
0.000 0.000 0.000
0.000 0.000 9.049
0.000 0.000 4.141
```

- Calculated formation energy: -0.246 eV/atom

---

No. 3
NdDy2Si4 after structural relaxation. Source: Alexandria via LeMat-Bulk, functional PBE.

Cell and atoms, written as POSCAR:
```
NdDy2Si4
1.0
-1.947 2.152 8.793
1.947 -2.152 8.793
1.947 2.152 -8.793
Nd Dy Si
1 2 4
Cartesian
0.000 0.000 0.000
1.947 0.000 3.218
0.000 2.152 5.575
1.947 0.000 6.149
0.000 0.000 7.610
0.000 0.000 9.976
0.000 2.152 2.644
```

- Formation energy without anion corrections: -763 meV/atom

---

No. 4
CsS3 after structural relaxation. Source: Alexandria via LeMat-Bulk, functional PBE.

Cell and atoms, written as POSCAR:
```
CsS3
1.0
3.574 0.000 0.000
0.000 6.935 0.000
0.000 0.000 5.986
Cs S
1 3
Cartesian
0.000 0.000 0.000
0.000 3.467 4.418
1.787 0.000 2.996
1.787 3.467 5.561
```

- Formation energy without anion corrections: 60 meV/atom
- Energy above the most stable polymorph in this dataset: 0.616 eV/atom

---

No. 5
CsBa2Te2Se6 after structural relaxation. Source: Alexandria via LeMat-Bulk, functional PBE.

Cell and atoms, written as POSCAR:
```
CsBa2Te2Se6
1.0
6.670 0.000 0.000
-2.625 7.937 0.000
-1.982 -1.934 9.149
Cs Ba Te Se
1 2 2 6
Cartesian
0.000 0.000 0.000
-0.459 4.373 2.953
2.521 1.630 6.196
-0.566 4.041 7.128
2.628 1.962 2.020
-2.622 3.076 8.732
-0.715 2.101 5.478
-0.841 6.244 5.573
2.903 -0.240 3.576
2.777 3.902 3.671
4.684 2.927 0.417
```

- Formation energy without anion corrections: -871 meV/atom

---

No. 6
MgSiO3 after structural relaxation. Source: Alexandria via LeMat-Bulk, functional PBE.

Cell and atoms, written as POSCAR:
```
MgSiO3
1.0
2.393 1.382 4.570
-2.393 1.382 4.570
0.000 -2.763 4.570
Mg Si O
2 2 6
Cartesian
0.000 0.000 1.912
0.000 0.000 11.798
0.000 0.000 4.691
0.000 0.000 9.020
-1.535 -0.199 5.578
-0.595 -1.429 8.132
0.940 -1.229 5.578
-0.940 1.229 8.132
0.595 1.429 5.578
1.535 0.199 8.132
```

- Formation energy without anion corrections: -2702 meV/atom

---

No. 7
TeAs3O after structural relaxation. Source: Alexandria via LeMat-Bulk, functional PBE.

Cell and atoms, written as POSCAR:
```
TeAs3O
1.0
4.548 0.000 0.000
0.000 4.548 0.000
0.000 0.000 4.548
Te As O
1 3 1
Cartesian
0.000 0.000 0.000
0.000 2.274 2.274
2.274 0.000 2.274
2.274 2.274 0.000
2.274 2.274 2.274
```

- Formation energy without anion corrections: 349 meV/atom
- Energy above the most stable polymorph in this dataset: 0.000 eV/atom

---

No. 8
KScPb2 after structural relaxation. Source: Alexandria via LeMat-Bulk, functional PBE.

Cell and atoms, written as POSCAR:
```
KScPb2
1.0
3.504 0.000 0.000
0.000 4.416 0.000
0.000 0.000 7.963
K Sc Pb
1 1 2
Cartesian
0.000 0.000 0.000
0.000 0.000 3.981
1.752 2.208 2.433
1.752 2.208 5.530
```

- Calculated formation energy: -0.285 eV/atom
- Energy above the most stable polymorph in this dataset: 0.000 eV/atom

---

No. 9
Dy2TmMg3 after structural relaxation. Source: Alexandria via LeMat-Bulk, functional PBE.

Cell and atoms, written as POSCAR:
```
Dy2TmMg3
1.0
3.780 0.000 0.000
0.000 3.780 0.000
0.000 0.000 11.299
Dy Tm Mg
2 1 3
Cartesian
0.000 0.000 1.893
0.000 0.000 9.406
0.000 0.000 5.650
1.890 1.890 0.000
1.890 1.890 3.796
1.890 1.890 7.503
```

- Calculated formation energy: -0.071 eV/atom

---

No. 10
PuTh2PaS4 after structural relaxation. Source: Alexandria via LeMat-Bulk, functional PBE.

Cell and atoms, written as POSCAR:
```
PuTh2PaS4
1.0
6.896 0.000 0.000
0.000 3.963 0.000
-2.276 0.000 6.520
Pu Th Pa S
1 2 1 4
Cartesian
0.000 0.000 0.000
2.310 0.000 3.260
3.448 1.981 0.000
-1.138 1.981 3.260
1.079 1.981 1.600
-0.056 0.000 4.873
4.676 0.000 1.647
3.541 1.981 4.920
```

- Formation energy without anion corrections: -1768 meV/atom

---

No. 11
Co3TcCl after structural relaxation. Source: Alexandria via LeMat-Bulk, functional PBE.

Cell and atoms, written as POSCAR:
```
Co3TcCl
1.0
4.109 0.000 0.000
0.000 4.109 0.000
0.000 0.000 4.109
Co Tc Cl
3 1 1
Cartesian
0.000 0.000 2.054
0.000 2.054 0.000
2.054 0.000 0.000
2.054 2.054 2.054
0.000 0.000 0.000
```

- Formation energy without anion corrections: 1041 meV/atom
- Energy above the most stable polymorph in this dataset: 0.000 eV/atom

---

No. 12
In2Rh3Se2 after structural relaxation. Source: Alexandria via LeMat-Bulk, functional PBE.

Cell and atoms, written as POSCAR:
```
In2Rh3Se2
1.0
2.864 1.653 4.735
-2.864 1.653 4.735
0.000 -3.307 4.735
In Rh Se
2 3 2
Cartesian
0.000 0.000 0.000
0.000 0.000 7.102
-1.432 -0.827 4.735
-1.432 0.827 9.470
0.000 1.653 4.735
0.000 0.000 2.973
0.000 0.000 11.232
```

- Formation energy without anion corrections: -429 meV/atom

---

no.,final energy (eV per atom)
1,-8.2565
2,-4.1975
3,-5.8577
4,-3.2487
5,-3.7701
6,-7.0807
7,-4.0607
8,-3.9959
9,-3.1479
10,-8.6653
11,-5.6652
12,-5.3575